# 1
Co2PPt | GGA-PBE | relaxed

Structure (extended XYZ):
```
8
Lattice="2.8020 0.0000 0.0000 0.0000 4.2533 0.0000 0.0000 0.0000 8.2571" Properties=species:S:1:pos:R:3 pbc="T T T"
Co 0.0000 0.0000 1.7182
Co 0.0000 0.0000 6.5390
Co 1.4010 2.1266 2.4104
Co 1.4010 2.1266 5.8467
P 0.0000 2.1266 4.1286
P 1.4010 0.0000 0.0000
Pt 0.0000 2.1266 0.0000
Pt 1.4010 0.0000 4.1286
```

Values from the calculation:
Magnetic moment, μB per cell: 4.4
E, Ry/atom: -0.4824
Space group: Immm (71)
D(E_F), states/eV per cell: 7.8
Crystal system: orthorhombic

***

# 2
Pr2Ho5Tm2 | GGA-PBE | relaxed

Structure (extended XYZ):
```
9
Lattice="10.8281 -1.7401 0.0000 10.8281 1.7401 0.0000 -1.4134 0.0000 8.0631" Properties=species:S:1:pos:R:3 pbc="T T T"
Pr 3.7005 0.0000 1.1515
Pr 16.5422 0.0000 6.9116
Ho 0.0000 0.0000 0.0000
Ho 1.0058 0.0000 5.8880
Ho 6.0425 0.0000 3.7701
Ho 14.2002 0.0000 4.2930
Ho 19.2369 0.0000 2.1751
Tm 8.9053 0.0000 5.1916
Tm 11.3375 0.0000 2.8715
```

Values from the calculation:
Magnetic moment, μB per cell: 0.0
E, Ry/atom: -0.3217
Space group: C2/m (12)
D(E_F), states/eV per cell: 13.1
Energy above the most stable polymorph in this dataset, meV per atom: 51
Crystal system: monoclinic

***

# 3
Na2UTeS6 | GGA-PBE | relaxed

Structure (extended XYZ):
```
10
Lattice="7.2912 0.0000 0.0000 0.0000 7.2912 0.0000 0.0000 0.0000 5.2908" Properties=species:S:1:pos:R:3 pbc="T T T"
Na 0.0000 3.6456 0.0000
Na 3.6456 0.0000 0.0000
U 0.0000 0.0000 3.6656
Te 3.6456 3.6456 3.3810
S 0.0000 0.0000 1.1489
S 1.7768 1.7768 3.8340
S 1.7768 5.5143 3.8340
S 3.6456 3.6456 1.1009
S 5.5143 1.7768 3.8340
S 5.5143 5.5143 3.8340
```

Values from the calculation:
Magnetic moment, μB per cell: 0.0
Energy relative to the elements, uncorrected, kJ/mol of atoms: -64.96
E, Ry/atom: -0.3569
Space group: P4mm (99)
Crystal system: tetragonal

***

# 4
CuRuNF2 | GGA-PBE | relaxed

Structure (extended XYZ):
```
5
Lattice="3.6613 0.0000 0.0000 0.0000 3.6613 0.0000 0.0000 0.0000 4.4917" Properties=species:S:1:pos:R:3 pbc="T T T"
Cu 0.0000 0.0000 0.0000
Ru 1.8306 1.8306 2.2459
N 0.0000 0.0000 2.2459
F 0.0000 1.8306 0.0000
F 1.8306 0.0000 0.0000
```

Values from the calculation:
Magnetic moment, μB per cell: 3.3
Energy relative to the elements, uncorrected, kJ/mol of atoms: 35.67
E, Ry/atom: -0.3468
Space group: P4/mmm (123)
D(E_F), states/eV per cell: 5.2
Energy above the most stable polymorph in this dataset, meV per atom: 551
Crystal system: tetragonal

***

# 5
TmMn2Tc | GGA-PBE | relaxed

Structure (extended XYZ):
```
16
Lattice="5.7126 0.0000 0.0000 -0.1408 6.4879 0.0000 -1.1460 -3.1332 7.1255" Properties=species:S:1:pos:R:3 pbc="T T T"
Tm 0.3612 1.7083 0.1494
Tm 0.9828 3.2162 5.5184
Tm 3.4431 0.1385 1.6071
Tm 4.0647 1.6464 6.9761
Mn -0.5730 -1.5666 3.5627
Mn -0.6434 1.6774 3.5627
Mn 0.7082 -0.1680 2.3183
Mn 2.2072 4.0805 0.4842
Mn 2.2833 -1.5666 3.5627
Mn 2.2129 1.6774 3.5627
Mn 2.2187 -0.7258 6.6413
Mn 3.7177 3.5228 4.8072
Tc 0.8057 3.4049 2.3296
Tc 0.7121 0.1737 5.0452
Tc 3.7137 3.1810 2.0803
Tc 3.6202 -0.0501 4.7959
```

Values from the calculation:
Magnetic moment, μB per cell: 5.2
E, Ry/atom: -0.5961
Space group: P-1 (2)
D(E_F), states/eV per cell: 18.2
Crystal system: triclinic

***

# 6
TbSmDy2Te6 | GGA-PBE | relaxed

Structure (extended XYZ):
```
10
Lattice="3.8717 2.2353 7.0567 -3.8717 2.2353 7.0567 0.0000 -4.4706 7.0567" Properties=species:S:1:pos:R:3 pbc="T T T"
Tb 0.0000 0.0000 0.0000
Sm 0.0000 0.0000 10.6096
Dy 0.0000 0.0000 6.6506
Dy 0.0000 0.0000 17.2173
Te -1.2414 -2.0964 8.5815
Te -2.7199 -0.1228 12.1260
Te -1.1948 2.1233 8.5815
Te 1.4663 -2.2941 12.1260
Te 2.4363 -0.0269 8.5815
Te 1.2535 2.4169 12.1260
```

Values from the calculation:
Magnetic moment, μB per cell: 0.0
Energy relative to the elements, uncorrected, kJ/mol of atoms: -131.92
E, Ry/atom: -0.3754
Space group: R3 (146)
Crystal system: trigonal

***

# 7
CdH3Pb | GGA-PBE | relaxed

Structure (extended XYZ):
```
5
Lattice="4.2791 0.0000 0.0000 0.0000 4.2791 0.0000 0.0000 0.0000 4.2791" Properties=species:S:1:pos:R:3 pbc="T T T"
Cd 0.0000 0.0000 0.0000
H 0.0000 2.1396 2.1396
H 2.1396 0.0000 2.1396
H 2.1396 2.1396 0.0000
Pb 2.1396 2.1396 2.1396
```

Values from the calculation:
Magnetic moment, μB per cell: 0.0
E, Ry/atom: -0.1779
Space group: Pm-3m (221)
D(E_F), states/eV per cell: 0.8
Energy above the most stable polymorph in this dataset, meV per atom: 36
Crystal system: cubic

***

# 8
NaLiCd2Ni | GGA-PBE | relaxed

Structure (extended XYZ):
```
5
Lattice="5.0147 0.0000 0.0000 0.0000 5.0147 0.0000 0.0000 0.0000 4.6640" Properties=species:S:1:pos:R:3 pbc="T T T"
Na 0.0000 0.0000 0.0000
Li 2.5074 2.5074 0.0000
Cd 0.0000 2.5074 2.3320
Cd 2.5074 0.0000 2.3320
Ni 2.5074 2.5074 2.3320
```

Values from the calculation:
Magnetic moment, μB per cell: 0.0
E, Ry/atom: -0.1558
Space group: P4/mmm (123)
D(E_F), states/eV per cell: 2.0
Crystal system: tetragonal

***

# 9
La4PtSe2Cl | GGA-PBE | relaxed

Structure (extended XYZ):
```
8
Lattice="7.4497 0.0000 0.0000 0.0000 4.1905 0.0000 -2.5248 0.0000 7.1586" Properties=species:S:1:pos:R:3 pbc="T T T"
La 1.1498 0.0000 1.7033
La -0.0415 2.0952 5.3445
La 4.9664 2.0952 1.8141
La 3.7751 0.0000 5.4554
Pt 0.0000 2.0952 0.0000
Se -1.2624 0.0000 3.5793
Se 2.4624 2.0952 3.5793
Cl 3.7248 0.0000 0.0000
```

Values from the calculation:
Magnetic moment, μB per cell: 0.0
Energy relative to the elements, uncorrected, kJ/mol of atoms: -163.44
E, Ry/atom: -0.4421
Space group: P2/m (10)
D(E_F), states/eV per cell: 5.5
Crystal system: monoclinic

***

# 10
SmBe2Cu | GGA-PBE | relaxed

Structure (extended XYZ):
```
12
Lattice="3.8291 0.0000 0.0000 -1.9146 3.3161 0.0000 0.0000 0.0000 14.9485" Properties=species:S:1:pos:R:3 pbc="T T T"
Sm 0.0000 0.0000 0.0000
Sm 0.0000 2.2107 9.9657
Sm 1.9146 1.1054 4.9828
Be 0.0000 0.0000 2.8586
Be 0.0000 0.0000 12.0899
Be 0.0000 2.2107 7.1071
Be 0.0000 2.2107 12.8242
Be 1.9146 1.1054 2.1243
Be 1.9146 1.1054 7.8414
Cu 0.0000 0.0000 7.4742
Cu 0.0000 2.2107 2.4914
Cu 1.9146 1.1054 12.4571
```

Values from the calculation:
Magnetic moment, μB per cell: 0.0
E, Ry/atom: -0.3053
Space group: R-3m (166)
D(E_F), states/eV per cell: 8.9
Crystal system: trigonal

***

# 11
HgSeBr2 | GGA-PBE | relaxed

Structure (extended XYZ):
```
12
Lattice="3.5499 0.0000 0.0000 -1.7750 3.0743 0.0000 0.0000 0.0000 34.3419" Properties=species:S:1:pos:R:3 pbc="T T T"
Hg 0.0000 0.0000 0.0000
Hg 0.0000 2.0496 22.8946
Hg 1.7750 1.0248 11.4473
Se 0.0000 0.0000 17.1709
Se 0.0000 2.0496 5.7237
Se 1.7750 1.0248 28.6182
Br 0.0000 0.0000 14.7250
Br 0.0000 0.0000 19.6169
Br 0.0000 2.0496 3.2777
Br 0.0000 2.0496 8.1696
Br 1.7750 1.0248 26.1723
Br 1.7750 1.0248 31.0642
```

Values from the calculation:
Magnetic moment, μB per cell: 0.0
Energy relative to the elements, uncorrected, kJ/mol of atoms: 9.23
E, Ry/atom: -0.1240
Space group: R-3m (166)
D(E_F), states/eV per cell: 6.9
Energy above the most stable polymorph in this dataset, meV per atom: 273
Crystal system: trigonal

***

# 12
Tm5Mg | GGA-PBE | relaxed

Structure (extended XYZ):
```
6
Lattice="3.4899 0.0000 0.0000 0.0000 3.4899 0.0000 0.0000 0.0000 14.2845" Properties=species:S:1:pos:R:3 pbc="T T T"
Tm 0.0000 0.0000 0.0000
Tm 0.0000 0.0000 4.8933
Tm 0.0000 0.0000 9.3912
Tm 1.7449 1.7449 2.4669
Tm 1.7449 1.7449 11.8177
Mg 1.7449 1.7449 7.1423
```

Values from the calculation:
Magnetic moment, μB per cell: 0.0
E, Ry/atom: -0.2938
Space group: P4/mmm (123)
D(E_F), states/eV per cell: 8.6
Energy above the most stable polymorph in this dataset, meV per atom: 0
Crystal system: tetragonal

***

# 13
La2TlAg | GGA-PBE | relaxed

Structure (extended XYZ):
```
12
Lattice="3.8965 0.0000 0.0000 -1.9483 3.3745 0.0000 0.0000 0.0000 29.1406" Properties=species:S:1:pos:R:3 pbc="T T T"
La 0.0000 0.0000 7.1618
La 0.0000 0.0000 21.9788
La 0.0000 2.2497 12.2652
La 0.0000 2.2497 26.5889
La 1.9483 1.1248 2.5517
La 1.9483 1.1248 16.8753
Tl 0.0000 0.0000 0.0000
Tl 0.0000 2.2497 19.4271
Tl 1.9483 1.1248 9.7135
Ag 0.0000 0.0000 14.5703
Ag 0.0000 2.2497 4.8568
Ag 1.9483 1.1248 24.2838
```

Values from the calculation:
Magnetic moment, μB per cell: 0.0
E, Ry/atom: -0.2880
Space group: R-3m (166)
D(E_F), states/eV per cell: 12.0
Energy above the most stable polymorph in this dataset, meV per atom: 192
Crystal system: trigonal

***

# 14
PuGaF4 | GGA-PBE | relaxed

Structure (extended XYZ):
```
12
Lattice="4.6007 0.0000 0.0000 0.0000 7.3485 0.0000 -1.1248 0.0000 7.0105" Properties=species:S:1:pos:R:3 pbc="T T T"
Pu -0.0538 1.8371 0.8222
Pu 3.5297 5.5114 6.1883
Ga 1.1782 5.5114 2.8153
Ga 2.2977 1.8371 4.1952
F -0.5594 5.5114 3.9616
F 0.2268 4.1528 1.2042
F 0.2268 6.8700 1.2042
F 1.2348 5.5114 6.3072
F 2.2411 1.8371 0.7033
F 3.2491 0.4785 5.8063
F 3.2491 3.1958 5.8063
F 4.0354 1.8371 3.0489
```

Values from the calculation:
Magnetic moment, μB per cell: 10.0
Energy relative to the elements, uncorrected, kJ/mol of atoms: -280.38
E, Ry/atom: -0.5179
Space group: P2_1/m (11)
D(E_F), states/eV per cell: 18.6
Crystal system: monoclinic

***

# 15
Ac2DyGe3Ir4 | GGA-PBE | relaxed

Structure (extended XYZ):
```
10
Lattice="4.2992 0.0000 0.0000 0.0000 4.2992 0.0000 0.0000 0.0000 11.3543" Properties=species:S:1:pos:R:3 pbc="T T T"
Ac 0.0000 2.1496 2.6798
Ac 2.1496 0.0000 8.6745
Dy 0.0000 0.0000 5.6771
Ge 0.0000 2.1496 10.0105
Ge 2.1496 0.0000 1.3438
Ge 2.1496 2.1496 5.6771
Ir 0.0000 0.0000 0.0000
Ir 0.0000 2.1496 7.4695
Ir 2.1496 0.0000 3.8848
Ir 2.1496 2.1496 0.0000
```

Values from the calculation:
Magnetic moment, μB per cell: 0.0
E, Ry/atom: -0.5132
Space group: P-4m2 (115)
D(E_F), states/eV per cell: 5.7
Crystal system: tetragonal

***

# 16
Pr2MgAs4Ir3 | GGA-PBE | relaxed

Structure (extended XYZ):
```
10
Lattice="4.3321 0.0000 0.0000 0.0000 4.3321 0.0000 0.0000 0.0000 10.4277" Properties=species:S:1:pos:R:3 pbc="T T T"
Pr 0.0000 2.1660 2.4891
Pr 2.1660 0.0000 7.9386
Mg 0.0000 0.0000 5.2139
As 0.0000 0.0000 0.0000
As 0.0000 2.1660 6.7301
As 2.1660 0.0000 3.6977
As 2.1660 2.1660 0.0000
Ir 0.0000 2.1660 9.2142
Ir 2.1660 0.0000 1.2135
Ir 2.1660 2.1660 5.2139
```

Values from the calculation:
Magnetic moment, μB per cell: 0.0
E, Ry/atom: -0.4700
Space group: P-4m2 (115)
D(E_F), states/eV per cell: 4.7
Crystal system: tetragonal

***

# 17
InCu2Te | GGA-PBE | relaxed

Structure (extended XYZ):
```
8
Lattice="3.9239 0.0000 0.0000 0.0000 5.3755 0.0000 0.0000 0.0000 7.6508" Properties=species:S:1:pos:R:3 pbc="T T T"
In 0.0000 0.0000 0.0000
In 1.9620 2.6877 0.0000
Cu 0.0000 2.6877 1.8908
Cu 0.0000 2.6877 5.7600
Cu 1.9620 0.0000 1.8908
Cu 1.9620 0.0000 5.7600
Te 0.0000 0.0000 3.8254
Te 1.9620 2.6877 3.8254
```

Values from the calculation:
Magnetic moment, μB per cell: 0.0
Energy relative to the elements, uncorrected, kJ/mol of atoms: 29.09
E, Ry/atom: -0.2364
Space group: Cmmm (65)
D(E_F), states/eV per cell: 2.4
Energy above the most stable polymorph in this dataset, meV per atom: 247
Crystal system: orthorhombic

***

# 18
TcPdF2 | GGA-PBE | relaxed

Structure (extended XYZ):
```
16
Lattice="7.3270 0.0000 0.0000 0.0000 7.3270 0.0000 0.0000 0.0000 5.2007" Properties=species:S:1:pos:R:3 pbc="T T T"
Tc 0.0000 0.0000 0.0000
Tc 0.0000 3.6635 1.3002
Tc 3.6635 0.0000 3.9005
Tc 3.6635 3.6635 2.6003
Pd 0.0000 0.0000 2.6003
Pd 0.0000 3.6635 3.9005
Pd 3.6635 0.0000 1.3002
Pd 3.6635 3.6635 0.0000
F 0.8755 1.8317 0.6501
F 1.8317 4.5389 1.9503
F 1.8317 6.4515 4.5506
F 2.7880 1.8317 3.2504
F 4.5389 5.4952 3.2504
F 5.4952 0.8755 4.5506
F 5.4952 2.7880 1.9503
F 6.4515 5.4952 0.6501
```

Values from the calculation:
Magnetic moment, μB per cell: 15.2
Energy relative to the elements, uncorrected, kJ/mol of atoms: -30.41
E, Ry/atom: -0.3778
Space group: I-42d (122)
D(E_F), states/eV per cell: 9.2
Energy above the most stable polymorph in this dataset, meV per atom: 396
Crystal system: tetragonal

***

# 19
SrLi4Ag | GGA-PBE | relaxed

Structure (extended XYZ):
```
12
Lattice="8.3458 0.0000 0.0000 0.0000 4.4426 0.0000 0.0000 0.0000 8.0373" Properties=species:S:1:pos:R:3 pbc="T T T"
Sr 2.0864 0.0000 0.8530
Sr 6.2593 0.0000 7.1843
Li 0.0000 0.0000 4.0187
Li 0.5617 2.2213 6.2896
Li 2.0864 2.2213 3.8417
Li 3.6112 2.2213 6.2896
Li 4.1729 0.0000 4.0187
Li 4.7346 2.2213 1.7477
Li 6.2593 2.2213 4.1957
Li 7.7841 2.2213 1.7477
Ag 2.0864 0.0000 5.6755
Ag 6.2593 0.0000 2.3619
```

Values from the calculation:
Magnetic moment, μB per cell: 0.0
E, Ry/atom: -0.1554
Space group: Pmma (51)
D(E_F), states/eV per cell: 6.7
Energy above the most stable polymorph in this dataset, meV per atom: 0
Crystal system: orthorhombic

***

# 20
RbLiCdCl4 | GGA-PBE | relaxed

Structure (extended XYZ):
```
14
Lattice="6.4657 0.0000 0.0000 0.0000 7.3832 0.0000 -1.6462 0.0000 8.5841" Properties=species:S:1:pos:R:3 pbc="T T T"
Rb 1.3062 1.8458 0.6980
Rb 3.5133 5.5374 7.8861
Li 0.9536 1.8458 5.8100
Li 3.8659 5.5374 2.7741
Cd 0.6258 5.5374 3.1516
Cd 4.1937 1.8458 5.4325
Cl -0.6436 0.0687 6.1640
Cl -0.6436 3.6230 6.1640
Cl 2.1997 5.5374 1.0600
Cl 2.3094 1.8458 3.8529
Cl 2.5101 5.5374 4.7312
Cl 2.6198 1.8458 7.5241
Cl 5.4631 3.7603 2.4201
Cl 5.4631 7.3146 2.4201
```

Values from the calculation:
Magnetic moment, μB per cell: 0.0
Energy relative to the elements, uncorrected, kJ/mol of atoms: -146.54
E, Ry/atom: -0.2290
Space group: P2_1/m (11)
D(E_F), states/eV per cell: 0.0
Crystal system: monoclinic